# 1
A geometry-optimized InSiBr structure. Source: the Alexandria database, functional PBE-GGA.

* energy: -8.21 eV per cell

a = 4.964 Å, b = 4.964 Å, c = 4.964 Å
α = 60.00°, β = 60.00°, γ = 60.00°
Element x y z (fractional)
Si 0.000 0.000 0.000
In 0.750 0.750 0.750
Br 0.500 0.500 0.500

---

# 2
A geometry-optimized InSiBr2 structure. Source: the Alexandria database, functional PBE-GGA.

* energy above the lowest structure with this stoichiometry: 298 meV/atom

a = 5.938 Å, b = 5.938 Å, c = 9.482 Å
α = 71.75°, β = 71.75°, γ = 90.00°
Element x y z (fractional)
Br 0.195 0.625 0.250
Br 0.555 0.125 0.250
Si 0.500 0.500 0.000
In 0.000 0.000 0.000
In 0.750 0.250 0.500
Si 0.250 0.750 0.500
Br 0.375 0.445 0.750
Br 0.875 0.805 0.750

---

# 3
A geometry-optimized InSiBr2 structure. Source: the Alexandria database, functional PBE-GGA.

* energy above the lowest structure with this stoichiometry: 0 meV/atom

a = 5.587 Å, b = 3.956 Å, c = 6.354 Å
α = 71.90°, β = 90.00°, γ = 90.00°
Element x y z (fractional)
Si 0.500 0.637 0.602
Br 0.500 0.271 0.333
Br 0.000 0.962 0.951
In 0.000 0.630 0.614

---

# 4
A geometry-optimized InSiBr structure. Source: the Alexandria database, functional PBE-GGA.

* energy: -8.95 eV per cell

a = 8.137 Å, b = 7.762 Å, c = 3.388 Å
α = 83.96°, β = 71.57°, γ = 24.46°
Element x y z (fractional)
In 0.319 0.319 0.681
Si 0.656 0.656 0.344
Br 0.024 0.024 0.976

---

# 5
A geometry-optimized InSiBr4 structure. Source: the Alexandria database, functional PBE-GGA.

* energy: -11.03 eV per cell

a = 6.396 Å, b = 6.396 Å, c = 6.396 Å
α = 60.00°, β = 60.00°, γ = 60.00°
Element x y z (fractional)
Si 0.000 0.000 0.000
Br 0.875 0.375 0.375
In 0.750 0.750 0.750
Br 0.375 0.375 0.375
Br 0.375 0.875 0.375
Br 0.375 0.375 0.875

---

# 6
A geometry-optimized InSiBr2 structure. Source: the Alexandria database, functional PBE-GGA.

* energy above the lowest structure with this stoichiometry: 278 meV/atom

a = 3.702 Å, b = 6.194 Å, c = 4.635 Å
α = 90.00°, β = 90.00°, γ = 90.00°
Element x y z (fractional)
Br 0.000 0.000 0.000
Br 0.500 0.500 0.000
In 0.500 0.000 0.500
Si 0.000 0.500 0.500

---

# 7
A geometry-optimized In4SiBr structure. Source: the Alexandria database, functional PBE-GGA.

* energy: -16.24 eV per cell

a = 6.181 Å, b = 6.181 Å, c = 6.181 Å
α = 60.00°, β = 60.00°, γ = 60.00°
Element x y z (fractional)
In 0.874 0.375 0.375
Br 0.000 0.000 0.000
In 0.375 0.375 0.874
In 0.375 0.375 0.375
Si 0.750 0.750 0.750
In 0.375 0.874 0.375

---

# 8
A geometry-optimized InSiBr structure. Source: the Alexandria database, functional PBE-GGA.

* energy: -9.17 eV per cell

a = 4.536 Å, b = 4.536 Å, c = 4.794 Å
α = 90.00°, β = 90.00°, γ = 120.00°
Element x y z (fractional)
Si 0.333 0.667 0.500
Br 0.000 0.000 0.000
In 0.667 0.333 0.500

---

Calculated ρ (g/cm3), listed in the same order as above: 4.3, 3.4, 3.8, 5.0, 4.2, 4.7, 5.6, 4.3